(1)
First-principles (PBE) data for a relaxed structure of BaSmMg, as listed in Alexandria.

abc: 5.870 5.870 3.637
angles: 90.00 90.00 120.00
Fractional positions:
1 Ba 0.000 0.000 0.000
2 Sm 0.333 0.667 0.616
3 Mg 0.667 0.333 0.345

Calculated values
- space group = P3m1 (156)
- uncorrected energy (eV per atom) = -2.5644
- formation energy (meV per atom) = 181.1

=====

(2)
First-principles (PBE) data for a relaxed structure of NaLi2Y, as listed in Alexandria.

abc: 7.528 7.528 7.528
angles: 90.00 90.00 90.00
Fractional positions:
1 Na 0.000 0.000 0.000
2 Na 0.000 0.500 0.500
3 Na 0.500 0.000 0.500
4 Na 0.500 0.500 0.000
5 Li 0.250 0.250 0.250
6 Li 0.250 0.250 0.750
7 Li 0.250 0.750 0.250
8 Li 0.250 0.750 0.750
9 Li 0.750 0.250 0.250
10 Li 0.750 0.250 0.750
11 Li 0.750 0.750 0.250
12 Li 0.750 0.750 0.750
13 Y 0.000 0.000 0.500
14 Y 0.000 0.500 0.000
15 Y 0.500 0.000 0.000
16 Y 0.500 0.500 0.500

Calculated values
- space group = Fm-3m (225)
- uncorrected energy (eV per atom) = -2.6228
- formation energy (meV per atom) = 279.9

=====

(3)
First-principles (PBE) data for a relaxed structure of SbPC3, as listed in Alexandria.

abc: 3.783 3.783 3.783
angles: 90.00 90.00 90.00
Fractional positions:
1 Sb 0.000 0.000 0.000
2 P 0.500 0.500 0.500
3 C 0.000 0.500 0.500
4 C 0.500 0.000 0.500
5 C 0.500 0.500 0.000

Calculated values
- space group = Pm-3m (221)
- raw formation energy (eV/atom) = 1.981
- uncorrected energy (eV per atom) = -5.4595

=====

(4)
First-principles (PBE) data for a relaxed structure of Li2ZnRe, as listed in Alexandria.

abc: 2.542 4.660 4.832
angles: 90.00 93.09 90.00
Fractional positions:
1 Li 0.186 0.000 0.230
2 Li 0.814 0.000 0.770
3 Zn 0.000 0.500 0.500
4 Re 0.500 0.500 0.000

Calculated values
- space group = P2/m (10)
- uncorrected energy (eV per atom) = -4.1894
- formation energy (meV per atom) = 198.0

=====

(5)
First-principles (PBE) data for a relaxed structure of AcNiSe2, as listed in Alexandria.

abc: 3.779 3.779 25.464
angles: 90.00 90.00 120.00
Fractional positions:
1 Ac 0.000 0.000 0.000
2 Ac 0.333 0.667 0.667
3 Ac 0.667 0.333 0.333
4 Ni 0.000 0.000 0.500
5 Ni 0.333 0.667 0.167
6 Ni 0.667 0.333 0.833
7 Se 0.000 0.000 0.120
8 Se 0.000 0.000 0.880
9 Se 0.333 0.667 0.547
10 Se 0.333 0.667 0.786
11 Se 0.667 0.333 0.214
12 Se 0.667 0.333 0.453

Calculated values
- space group = R-3m (166)
- raw formation energy (eV/atom) = -0.340
- uncorrected energy (eV per atom) = -4.5546

=====

(6)
First-principles (PBE) data for a relaxed structure of Y2CuP, as listed in Alexandria.

abc: 4.016 4.016 10.618
angles: 90.00 90.00 90.00
Fractional positions:
1 Y 0.000 0.000 0.000
2 Y 0.000 0.500 0.250
3 Y 0.500 0.000 0.750
4 Y 0.500 0.500 0.500
5 Cu 0.000 0.500 0.750
6 Cu 0.500 0.000 0.250
7 P 0.000 0.000 0.500
8 P 0.500 0.500 0.000

Calculated values
- space group = I-4m2 (119)
- uncorrected energy (eV per atom) = -6.1827
- formation energy (meV per atom) = -574.2

=====

(7)
First-principles (PBE) data for a relaxed structure of Ba3MgFe, as listed in Alexandria.

abc: 5.886 5.886 5.886
angles: 90.00 90.00 90.00
Fractional positions:
1 Ba 0.000 0.000 0.500
2 Ba 0.000 0.500 0.000
3 Ba 0.500 0.000 0.000
4 Mg 0.500 0.500 0.500
5 Fe 0.000 0.000 0.000

Calculated values
- space group = Pm-3m (221)
- uncorrected energy (eV per atom) = -2.7181
- formation energy (meV per atom) = 447.0

=====

(8)
First-principles (PBE) data for a relaxed structure of LaVC, as listed in Alexandria.

abc: 3.239 3.239 5.817
angles: 90.00 90.00 120.00
Fractional positions:
1 La 0.000 0.000 0.000
2 V 0.667 0.333 0.542
3 C 0.333 0.667 0.670

Calculated values
- space group = P3m1 (156)
- uncorrected energy (eV per atom) = -7.6464
- formation energy (meV per atom) = 110.2